EuGaI2, relaxed, DFT GGA-PBE; formation energy without anion corrections = -750 meV per atom
1.0
4.027 0.000 0.000
0.000 4.027 0.000
0.000 0.000 8.169
Eu Ga I
1 1 2
Direct
0.000 0.000 0.000
0.000 0.000 0.500
0.500 0.500 0.232
0.500 0.500 0.768

KLiThSe3, relaxed, DFT GGA-PBE; formation energy without anion corrections = -1557 meV per atom
1.0
9.290 0.000 0.000
0.000 4.350 0.000
-2.436 0.000 9.188
K Li Th Se
2 2 2 6
Direct
0.197 0.250 0.247
0.803 0.750 0.753
0.080 0.250 0.590
0.920 0.750 0.410
0.322 0.750 0.836
0.678 0.250 0.164
0.126 0.250 0.870
0.201 0.750 0.531
0.458 0.750 0.160
0.542 0.250 0.840
0.799 0.250 0.469
0.874 0.750 0.130

Gd3CCl3, relaxed, DFT GGA-PBE; formation energy without anion corrections = -1544 meV per atom
1.0
-5.420 5.420 5.420
5.420 -5.420 5.420
5.420 5.420 -5.420
Gd C Cl
12 4 12
Direct
0.018 0.036 0.268
0.018 0.482 0.750
0.036 0.268 0.018
0.232 0.268 0.750
0.232 0.464 0.482
0.268 0.018 0.036
0.268 0.750 0.232
0.464 0.482 0.232
0.482 0.232 0.464
0.482 0.750 0.018
0.750 0.018 0.482
0.750 0.232 0.268
0.000 0.250 0.500
0.250 0.250 0.250
0.250 0.500 0.000
0.500 0.000 0.250
0.250 0.757 0.743
0.250 0.993 0.507
0.507 0.250 0.993
0.507 0.757 0.513
0.513 0.507 0.757
0.743 0.250 0.757
0.743 0.993 0.987
0.757 0.513 0.507
0.757 0.743 0.250
0.987 0.743 0.993
0.993 0.507 0.250
0.993 0.987 0.743

Tl2AgI2, relaxed, DFT GGA-PBE; formation energy without anion corrections = -154 meV per atom; E above lowest polymorph = 0 meV per atom
1.0
8.267 0.000 0.000
0.000 8.267 0.000
0.000 0.000 5.386
Tl Ag I
4 2 4
Direct
0.146 0.354 0.000
0.354 0.854 0.000
0.646 0.146 0.000
0.854 0.646 0.000
0.000 0.000 0.500
0.500 0.500 0.500
0.178 0.678 0.500
0.322 0.178 0.500
0.678 0.822 0.500
0.822 0.322 0.500

TlOsRu2, relaxed, DFT GGA-PBE; E above lowest polymorph = 580 meV per atom
1.0
-3.646 3.646 2.758
3.646 -3.646 2.758
3.646 3.646 -2.758
Tl Os Ru
2 2 4
Direct
0.000 0.000 0.000
0.750 0.250 0.500
0.250 0.750 0.500
0.500 0.500 0.000
0.176 0.125 0.551
0.375 0.824 0.949
0.574 0.625 0.449
0.875 0.426 0.051

AlTlTe2, relaxed, DFT GGA-PBE; formation energy without anion corrections = -18 meV per atom
1.0
3.262 0.000 0.000
0.000 5.755 0.000
-1.547 0.000 6.508
Al Tl Te
1 1 2
Direct
0.000 0.000 0.000
0.325 0.500 0.632
0.058 0.500 0.106
0.801 0.000 0.579

Ac8Rh5Au, relaxed, DFT GGA-PBE; energy = -5.865 eV/atom
1.0
-4.736 4.736 4.645
4.736 -4.736 4.645
4.736 4.736 -4.645
Ac Rh Au
8 5 1
Direct
0.012 0.389 0.254
0.125 0.268 0.748
0.134 0.757 0.746
0.243 0.988 0.377
0.521 0.377 0.252
0.611 0.866 0.623
0.623 0.875 0.144
0.732 0.479 0.856
0.240 0.628 0.119
0.372 0.491 0.612
0.509 0.121 0.881
0.750 0.250 0.500
0.879 0.760 0.388
0.000 0.000 0.000

ScCo2Mo, relaxed, DFT GGA-PBE; energy = -7.769 eV/atom
1.0
-1.376 2.150 4.785
1.376 -2.150 4.785
1.376 2.150 -4.785
Sc Co Mo
1 2 1
Direct
0.000 0.000 0.000
0.273 0.773 0.500
0.482 0.482 0.000
0.712 0.212 0.500

Sm2DyTl2Hg2, relaxed, DFT GGA-PBE; energy = -2.952 eV/atom
1.0
2.506 1.447 8.954
-2.506 1.447 8.954
0.000 -2.894 8.954
Sm Dy Tl Hg
2 1 2 2
Direct
0.133 0.133 0.133
0.867 0.867 0.867
0.000 0.000 0.000
0.276 0.276 0.276
0.724 0.724 0.724
0.431 0.431 0.431
0.569 0.569 0.569

Sc3Se2O, relaxed, DFT GGA-PBE; formation energy without anion corrections = -1822 meV per atom
1.0
6.469 -3.694 0.000
6.469 3.694 0.000
0.000 0.000 5.227
Sc Se O
6 4 2
Direct
0.110 0.591 0.004
0.118 0.882 0.500
0.409 0.890 0.004
0.591 0.110 0.504
0.882 0.118 0.000
0.890 0.409 0.504
0.206 0.486 0.504
0.486 0.206 0.004
0.514 0.794 0.504
0.794 0.514 0.004
0.161 0.839 0.007
0.839 0.161 0.507

TiFe3Os, relaxed, DFT GGA-PBE; E above lowest polymorph = 0 meV per atom
1.0
4.455 0.000 0.000
0.000 4.455 0.000
0.000 0.000 4.455
Ti Fe Os
1 3 1
Direct
0.000 0.000 0.000
0.000 0.500 0.500
0.500 0.000 0.500
0.500 0.500 0.000
0.500 0.500 0.500

CaLaHg2, relaxed, DFT GGA-PBE; E above lowest polymorph = 23 meV per atom
1.0
5.481 0.000 0.000
0.000 5.481 0.000
0.000 0.000 3.829
Ca La Hg
1 1 2
Direct
0.000 0.000 0.000
0.500 0.500 0.998
0.000 0.500 0.499
0.500 0.000 0.499